Record 1
Lu2Al9Rh3 | PBE | optimized geometry

The structure in POSCAR format:
```
Lu2Al9Rh3
1.0
-3.639 -2.798 5.940
-0.857 -3.246 -6.714
7.296 -5.658 1.804
Rh Lu Al
6 4 18
Direct
0.000 0.000 0.500
0.328 0.672 0.000
0.672 0.328 0.500
0.000 0.000 0.000
0.672 0.328 0.000
0.328 0.672 0.500
0.995 0.673 0.250
0.327 0.005 0.750
0.673 0.995 0.250
0.005 0.327 0.750
0.667 0.667 0.053
0.664 0.000 0.576
0.333 0.333 0.947
0.872 0.872 0.750
0.667 0.667 0.447
0.449 0.660 0.750
0.000 0.336 0.076
0.000 0.664 0.924
0.664 0.000 0.924
0.128 0.128 0.250
0.340 0.551 0.250
0.336 0.000 0.424
0.000 0.336 0.424
0.000 0.664 0.576
0.333 0.333 0.553
0.660 0.449 0.750
0.551 0.340 0.250
0.336 0.000 0.076
```

## Properties
The space group is Cmcm, No. 63. As for the magnetic moment: 0.00 μB per formula unit. The value obtained for the formation enthalpy at 0 K is -813 meV per atom. For the calculated volume, the calculation gives 16.49 A^3/atom. For the density of states at the Fermi level, the calculation gives 6.028 states/eV/f.u. As for the calculated density: 6.5 g/cm3.

Record 2
Pr7P5S | PBE | optimized geometry

The structure in POSCAR format:
```
Pr7P5S
1.0
-1.172 -3.144 -2.447
4.820 -2.686 4.667
-18.089 -5.384 15.580
Pr S P
14 2 10
Direct
0.820 0.639 0.824
0.550 0.100 0.750
0.638 0.276 0.036
0.820 0.639 0.676
0.638 0.276 0.464
0.363 0.725 0.536
0.086 0.173 0.605
0.086 0.173 0.895
0.181 0.362 0.324
0.451 0.901 0.250
0.181 0.362 0.176
0.363 0.725 0.964
0.914 0.828 0.395
0.914 0.829 0.105
0.202 0.404 0.750
0.799 0.597 0.250
0.727 0.454 0.925
0.000 0.001 0.000
0.454 0.907 0.647
0.274 0.548 0.075
0.274 0.547 0.425
0.547 0.094 0.353
0.000 0.000 0.500
0.454 0.907 0.853
0.547 0.094 0.147
0.727 0.454 0.575
```

## Properties
The space group is C2/m, No. 12. As for the magnetic moment: 0.00 μB per formula unit. The calculation puts the uncorrected energy at -83.56 eV per formula unit. For the calculated volume, the calculation gives 27.06 A^3/atom. For the density of states at the Fermi level, the calculation gives 6.035 states/eV/f.u. As for the calculated density: 5.5 g/cm3.

Record 3
NpZnH6Ir | PBE | optimized geometry

The structure in POSCAR format:
```
NpZnH6Ir
1.0
4.546 0.000 0.000
2.273 3.937 0.000
0.000 0.000 4.429
Zn Np H Ir
1 1 6 1
Direct
0.667 0.667 0.500
0.000 0.000 0.000
0.022 0.489 0.214
0.489 0.022 0.786
0.489 0.022 0.214
0.022 0.489 0.786
0.489 0.489 0.786
0.489 0.489 0.214
0.333 0.333 0.500
```

## Properties
The space group is P-6m2, No. 187. As for the magnetic moment: 4.74 μB per formula unit. The calculation puts the uncorrected energy at -43.58 eV per formula unit. For the calculated volume, the calculation gives 8.81 A^3/atom. For the density of states at the Fermi level, the calculation gives 13.067 states/eV/f.u. As for the calculated density: 10.5 g/cm3.

Record 4
ZrAlOs | PBE | optimized geometry

The structure in POSCAR format:
```
ZrAlOs
1.0
5.285 -0.005 0.000
-2.590 4.608 0.000
0.000 0.000 8.435
Al Os Zr
4 4 4
Direct
0.344 0.170 0.000
0.995 0.005 0.250
0.995 0.005 0.750
0.830 0.656 0.000
0.167 0.340 0.500
0.163 0.837 0.500
0.831 0.169 0.000
0.660 0.833 0.500
0.335 0.665 0.799
0.672 0.328 0.681
0.335 0.665 0.201
0.672 0.328 0.319
```

## Properties
The space group is Amm2, No. 38. As for the magnetic moment: 0.00 μB per formula unit. The value obtained for the formation enthalpy at 0 K is -514 meV per atom. For the calculated volume, the calculation gives 17.11 A^3/atom. For the density of states at the Fermi level, the calculation gives 3.077 states/eV/f.u. As for the calculated density: 10.0 g/cm3.